1.
Compound: LaPmNdEr
Source: Alexandria
Functional: GGA-PBE
Structure: optimized geometry

The calculated formation energy is 0.11 eV per atom. For the total energy, the calculation gives -4.638 eV/atom.

It has space group F-43m (No. 216), with a = 8.207 Å, b = 8.207 Å, c = 8.207 Å, α = 90.00°, β = 90.00° and γ = 90.00°. The distinct sites, in fractional coordinates, are La at (0.000, 0.000, 0.000), Pm at (0.250, 0.250, 0.250), Nd at (0.000, 0.000, 0.500) and Er at (0.250, 0.250, 0.750).

2.
Compound: La2TlIrPb
Source: Alexandria
Functional: GGA-PBE
Structure: optimized geometry

The calculated formation energy is -0.39 eV per atom. For the total energy, the calculation gives -5.344 eV/atom.

It has space group P4/mmm (No. 123), with a = 5.576 Å, b = 5.576 Å, c = 5.251 Å, α = 90.00°, β = 90.00° and γ = 90.00°. The distinct sites, in fractional coordinates, are La at (0.000, 0.500, 0.000), Tl at (0.000, 0.000, 0.500), Ir at (0.500, 0.500, 0.000) and Pb at (0.500, 0.500, 0.500).

Number 1: energy above the lowest structure with this stoichiometry 92.3 meV/atom. Number 2: energy above the lowest structure with this stoichiometry 87.7 meV/atom.